Compound: ReRu2Pb
Source: Alexandria via LeMat-Bulk
Functional: GGA-PBE
Structure: relaxed

Lattice parameters (Å, degrees): 9.376 9.376 9.376 17.83 17.83 17.83
Element x y z (fractional)
Re 0.000 0.000 0.000
Ru 0.259 0.259 0.259
Ru 0.516 0.516 0.516
Pb 0.761 0.761 0.761

Results
As for the space group: No. 160. As for the calculated total energy: -8.00 eV per atom. The value obtained for the formation energy from the elements is 261 kJ/mol of formula units.